No. 1
VASP calculation (GGA-PBE) on a geometry-optimized Sc2Fe structure.

Magnetic moment = 1.946 μB per formula unit
Space group = No. 227
Calculated total energy = -18.7 eV per formula unit
ΔE_f = 0.771 eV per atom
V = 120.09 Å³/cell

Geometry as POSCAR:
```
Sc2Fe
1.0
0.0000 3.9158 3.9158
3.9158 0.0000 3.9158
3.9158 3.9158 0.0000
Fe Sc
2 4
Cartesian
0.0000 0.0000 0.0000 Fe
1.9579 1.9579 1.9579 Fe
2.9369 2.9369 4.8948 Sc
2.9369 4.8948 2.9369 Sc
4.8948 2.9369 2.9369 Sc
4.8948 4.8948 4.8948 Sc
```



No. 2
VASP calculation (GGA-PBE) on a geometry-optimized Sc3Fe2 structure.

Magnetic moment = 2.098 μB per formula unit
Space group = No. 167
Calculated total energy = -35.1 eV per formula unit
ΔE_f = 0.104 eV per atom
V = 188.78 Å³/cell

Geometry as POSCAR:
```
Sc3Fe2
1.0
-6.0967 0.0000 0.0000
3.0484 -5.2799 0.0000
-3.0484 1.7600 5.8645
Fe Sc
4 6
Cartesian
0.0000 -3.5199 0.3565 Fe
0.0000 -3.5199 2.5757 Fe
-6.0967 0.0000 3.2888 Fe
-6.0967 0.0000 5.5080 Fe
-1.8451 -0.3241 1.4661 Sc
-4.8935 -1.4358 1.4661 Sc
-2.4065 -3.5199 1.4661 Sc
-3.6902 0.0000 4.3984 Sc
-1.2032 -2.0841 4.3984 Sc
-4.2516 -3.1958 4.3984 Sc
```



No. 3
VASP calculation (GGA-PBE) on a geometry-optimized ScTlFeSe3 structure.

Magnetic moment = 3.679 μB per formula unit
Space group = No. 11
Calculated total energy = -32.8 eV per formula unit
V = 312.19 Å³/cell

Geometry as POSCAR:
```
ScTlFeSe3
1.0
-6.2151 1.7886 6.2787
-2.7441 0.1096 -2.7476
0.8722 -9.3962 -1.2461
Fe Sc Se Tl
2 2 6 2
Cartesian
-1.0580 -0.6815 -0.3437 Fe
-7.0290 -6.8164 2.6287 Fe
-3.8199 -2.6806 -0.4113 Sc
-4.2671 -4.8173 2.6963 Sc
-3.3704 0.1021 -0.7493 Se
-3.7213 -2.2380 2.2541 Se
-1.1120 -3.1033 -0.3864 Se
-6.9750 -4.3946 2.6714 Se
-4.3658 -5.2599 0.0309 Se
-4.7167 -7.6001 3.0343 Se
-6.7370 -1.0650 2.5666 Tl
-1.3500 -6.4329 -0.2816 Tl
```



No. 4
VASP calculation (GGA-PBE) on a geometry-optimized ScFeSi structure.

Magnetic moment = 0.776 μB per formula unit
Space group = No. 194
Calculated total energy = -21.6 eV per formula unit
V = 87.86 Å³/cell

Geometry as POSCAR:
```
ScFeSi
1.0
-3.4724 -1.2247 -1.8222
3.6106 -1.5372 -1.2160
-0.5395 -4.4420 4.0136
Fe Sc Si
2 2 2
Cartesian
1.1147 -2.5436 -0.4147 Fe
-1.5160 -4.6604 1.3900 Fe
0.0000 0.0000 0.0000 Sc
-0.2697 -2.2210 2.0068 Sc
-1.2463 -2.4394 -0.6167 Si
0.8450 -4.7645 1.5921 Si
```



Q: Look up the magnetic moment of the third one.
A: 3.679 μB per formula unit



Q: The lowest calculated total energy belongs to which entry?
A: Sc3Fe2